The following is a DFT calculation (PBE-GGA) of an optimized crystal structure of NiRhW2.

## Properties
- E_form (eV/atom) = 0.004
- size of the total moment (μB per formula unit) = 0.00
- Fermi-level density of states (states/eV per cell) = 3.176
- energy (eV per atom) = -9.756

abc: 4.6385 4.6385 4.8378
angles: 81.23 81.23 34.24
Fractional coordinates of all 4 atoms:
Ni1 0.4989 0.4989 0.5159
Rh1 0.2482 0.2482 0.2456
W1 0.7547 0.7547 0.7178
W2 0.9982 0.9982 0.0207


The following is a DFT calculation (PBE-GGA) of an optimized crystal structure of NiRhW.

## Properties
- E_form (eV/atom) = 0.634
- size of the total moment (μB per formula unit) = 0.00
- Fermi-level density of states (states/eV per cell) = 3.325
- energy (eV per atom) = -8.061

abc: 5.2476 2.7071 4.3395
angles: 90.00 75.61 59.01
Fractional coordinates of all 3 atoms:
W1 0.0000 0.5000 0.0000
Rh1 0.5000 0.5000 0.0000
Ni1 0.0000 0.0000 0.5000